PBE-GGA TcNi4, optimized geometry; energy relative to the elements = 0.435 eV/atom; excess energy over the best structure of this formula in the dataset = 458 meV/atom; total energy = -6.263 eV per atom; DOS at the Fermi energy = 9.56 states/eV/f.u.; ρ = 8.886 Mg/m³; calculated volume = 12.44 Å³ per atom
1.0
3.295 0.000 0.000
0.000 3.295 0.000
0.000 0.000 11.453
Tc Ni
2 8
Direct
0.000 0.000 0.000
0.500 0.500 0.500
0.000 0.000 0.400
0.000 0.000 0.600
0.000 0.500 0.250
0.000 0.500 0.750
0.500 0.000 0.250
0.500 0.000 0.750
0.500 0.500 0.100
0.500 0.500 0.900